{
  "formula": "CaY2Ta",
  "functional": "PBE-GGA",
  "state": "optimized geometry",
  "lattice_angstrom": [[-1.9042, 2.7475, 5.6137], [1.9042, -2.7475, 5.6137], [1.9042, 2.7475, -5.6137]],
  "species": ["Ca", "Y", "Y", "Ta"],
  "frac_coords": [[0.0000, 0.0000, 0.0000], [0.4383, 0.4383, 0.0000], [0.7215, 0.2215, 0.5000], [0.2303, 0.7303, 0.5000]],
  "relative_energy_ev_per_atom": 0.246,
  "e_form_ev_per_fu": 2.15
}